[1]
Below is crystalline Cu6PdAu12 at its relaxed geometry, with properties calculated at the PBE level.

Summary:
- ΔE to the lowest computed polymorph (kJ per mole of atoms) = 0.0
- energy relative to the elements (eV per atom) = -0.029
- ρ (g/cm3) = 15.4

a = 6.9835 Å, b = 7.5088 Å, c = 7.5088 Å
α = 69.16°, β = 71.94°, γ = 108.06°
Element x y z (fractional)
Cu 0.4200 0.4699 0.2162
Cu 0.0499 0.6861 0.5301
Cu 0.3638 0.7838 0.6861
Cu 0.5800 0.5301 0.7838
Cu 0.9501 0.3139 0.4699
Cu 0.6362 0.2162 0.3139
Pd 0.0000 0.0000 0.0000
Au 0.5218 0.8518 0.2740
Au 0.6700 0.8743 0.8518
Au 0.7958 0.2740 0.8743
Au 0.4782 0.1482 0.7260
Au 0.3300 0.1257 0.1482
Au 0.2042 0.7260 0.1257
Au 0.2631 0.4291 0.6237
Au 0.1132 0.3763 0.0527
Au 0.1659 0.0527 0.5709
Au 0.7369 0.5709 0.3763
Au 0.8868 0.6237 0.9473
Au 0.8341 0.9473 0.4291

[2]
Below is crystalline Cu2Pd2Au at its relaxed geometry, with properties calculated at the PBE level.

Summary:
- ΔE to the lowest computed polymorph (kJ per mole of atoms) = 30.5
- energy relative to the elements (eV per atom) = 0.214
- ρ (g/cm3) = 11.1

a = 3.7063 Å, b = 3.7063 Å, c = 6.3887 Å
α = 73.14°, β = 73.14°, γ = 90.00°
Element x y z (fractional)
Au 0.0000 0.0000 0.0000
Cu 0.4018 0.4018 0.1964
Cu 0.5982 0.5982 0.8036
Pd 0.7500 0.2500 0.5000
Pd 0.2500 0.7500 0.5000

[3]
Below is crystalline CuPd6Au3 at its relaxed geometry, with properties calculated at the PBE level.

Summary:
- ΔE to the lowest computed polymorph (kJ per mole of atoms) = 17.5
- energy relative to the elements (eV per atom) = 0.134
- ρ (g/cm3) = 12.8

a = 5.2054 Å, b = 5.2054 Å, c = 7.1317 Å
α = 90.00°, β = 90.00°, γ = 120.00°
Element x y z (fractional)
Cu 0.0000 0.0000 0.0000
Pd 0.5999 0.5999 0.8216
Pd 0.0000 0.4001 0.8216
Pd 0.4001 0.0000 0.8216
Pd 0.0000 0.5999 0.1784
Pd 0.4001 0.4001 0.1784
Pd 0.5999 0.0000 0.1784
Au 0.0000 0.0000 0.5000
Au 0.6667 0.3333 0.5000
Au 0.3333 0.6667 0.5000

[4]
Below is crystalline Cu4Pd5Au4 at its relaxed geometry, with properties calculated at the PBE level.

Summary:
- energy relative to the elements (eV per atom) = -0.085
- ρ (g/cm3) = 13.2

a = 4.0583 Å, b = 7.2845 Å, c = 7.2845 Å
α = 85.55°, β = 73.83°, γ = 73.83°
Element x y z (fractional)
Cu 0.7726 0.3676 0.0872
Cu 0.2274 0.6324 0.9128
Cu 0.8598 0.9128 0.3676
Cu 0.1402 0.0872 0.6324
Pd 0.6877 0.8715 0.7530
Pd 0.3123 0.1285 0.2470
Pd 0.0000 0.0000 0.0000
Pd 0.5592 0.7530 0.1285
Pd 0.4408 0.2470 0.8715
Au 0.9065 0.4734 0.7135
Au 0.6201 0.2865 0.4734
Au 0.0935 0.5266 0.2865
Au 0.3799 0.7135 0.5266